(1)
First-principles (PBE-GGA) data for a relaxed LiAcSeO5 crystal, as listed in the Alexandria database.

Results
The calculation puts the spin magnetization at 0.000 μB/atom. The calculated total energy comes out at -6.1049 eV/atom.

Cell: 6.3555 6.3555 8.6048 Å, 110.41 110.41 89.18°
With the nearest neighbours (Å) after each atom.
Element x y z (fractional)
Li1 0.1880 0.8120 0.7500  1 O 1.83
Li2 0.8120 0.1880 0.2500  1 O 1.83
Ac1 0.5000 0.5000 0.0000  4 O 2.35-2.60
Ac2 0.5000 0.5000 0.5000  4 O 2.35-2.60
Se1 0.1155 0.8845 0.2500  4 O 1.67-1.68
Se2 0.8845 0.1155 0.7500  4 O 1.67-1.68
O1 0.1609 0.1687 0.3328  1 Se 1.68
O2 0.1687 0.1609 0.8328  1 Se 1.68
O3 0.2182 0.7736 0.0889  1 Se 1.67
O4 0.2264 0.7818 0.4111  1 Se 1.67
O5 0.3934 0.6066 0.7500  1 Li 1.83
O6 0.6066 0.3934 0.2500  1 Li 1.83
O7 0.7736 0.2182 0.5889  1 Se 1.67
O8 0.7818 0.2264 0.9111  1 Se 1.67
O9 0.8313 0.8391 0.1672  1 Se 1.68
O10 0.8391 0.8313 0.6672  1 Se 1.68

(2)
First-principles (PBE-GGA) data for a relaxed LiAcSe2O8 crystal, as listed in the Alexandria database.

Results
As for the density of states at the Fermi level: 0.00 states/eV/cell. The calculation puts the spin magnetization at 0.000 μB/atom. The calculated total energy comes out at -5.9006 eV/atom.

Cell: 6.2617 6.2617 6.2617 Å, 106.33 106.33 115.95°
With the nearest neighbours (Å) after each atom.
Element x y z (fractional)
Li1 0.0000 0.0000 0.0000  8 O 2.51-2.63
Ac1 0.7500 0.2500 0.5000  8 O 2.52-2.64
Se1 0.2500 0.7500 0.5000  4 O 1.68
Se2 0.5000 0.5000 0.0000  4 O 1.67
O1 0.0944 0.4179 0.3234  1 Se 1.68
O2 0.0944 0.7710 0.6766  1 Se 1.68
O3 0.1698 0.3442 0.8256  1 Se 1.67
O4 0.2290 0.9056 0.3234  1 Se 1.68
O5 0.5186 0.3442 0.1744  1 Se 1.67
O6 0.5821 0.9056 0.6766  1 Se 1.68
O7 0.6558 0.4814 0.8256  1 Se 1.67
O8 0.6558 0.8302 0.1744  1 Se 1.67

(3)
First-principles (PBE-GGA) data for a relaxed LiAc2SiO6 crystal, as listed in the Alexandria database.

Results
As for the density of states at the Fermi level: 6.68 states/eV/cell. The calculation puts the spin magnetization at 0.043 μB/atom. The calculated total energy comes out at -7.3204 eV/atom.

Cell: 5.4102 5.4102 4.1342 Å, 90.00 90.00 90.00°
With the nearest neighbours (Å) after each atom.
Element x y z (fractional)
Li1 0.0000 0.0000 0.0000  6 O 2.04-2.10
Ac1 0.0000 0.5000 0.4838  12 O 2.71-2.93
Ac2 0.5000 0.0000 0.4838  12 O 2.71-2.93
Si1 0.5000 0.5000 0.9611  5 O 1.72-1.74
O1 0.0000 0.0000 0.5076  2 Li 2.04-2.10
O2 0.2743 0.2743 0.0191  1 Si 1.74
O3 0.2743 0.7257 0.0191  1 Si 1.74
O4 0.5000 0.5000 0.5445  1 Si 1.72
O5 0.7257 0.2743 0.0191  1 Si 1.74
O6 0.7257 0.7257 0.0191  1 Si 1.74

(4)
First-principles (PBE-GGA) data for a relaxed LiAc3Si2O9 crystal, as listed in the Alexandria database.

Results
As for the density of states at the Fermi level: 0.00 states/eV/cell. The calculation puts the spin magnetization at 0.000 μB/atom. The calculated total energy comes out at -7.6588 eV/atom.

Cell: 5.4645 5.4645 6.7396 Å, 90.00 90.00 120.00°
With the nearest neighbours (Å) after each atom.
Element x y z (fractional)
Li1 0.0000 0.0000 0.0000  6 O 2.10
Ac1 0.0000 0.0000 0.5000  12 O 2.70-2.73
Ac2 0.3333 0.6667 0.1612  12 O 2.74-2.78
Ac3 0.6667 0.3333 0.8388  12 O 2.74-2.78
Si1 0.3333 0.6667 0.6758  3 O 1.74
Si2 0.6667 0.3333 0.3242  3 O 1.74
O1 0.0000 0.5000 0.5000  2 Si 1.97
O2 0.1779 0.3558 0.8137  1 Si 1.74
O3 0.1779 0.8221 0.8137  1 Si 1.74
O4 0.3558 0.1779 0.1863  1 Si 1.74
O5 0.5000 0.0000 0.5000  2 Si 1.97
O6 0.5000 0.5000 0.5000  2 Si 1.97
O7 0.6442 0.8221 0.8137  1 Si 1.74
O8 0.8221 0.1779 0.1863  1 Si 1.74
O9 0.8221 0.6442 0.1863  1 Si 1.74

(5)
First-principles (PBE-GGA) data for a relaxed LiAc2SiO5 crystal, as listed in the Alexandria database.

Results
As for the density of states at the Fermi level: 3.69 states/eV/cell. The calculation puts the spin magnetization at 0.000 μB/atom. The calculated total energy comes out at -6.9648 eV/atom.

Cell: 7.2791 7.2791 5.4768 Å, 90.00 90.00 90.00°
With the nearest neighbours (Å) after each atom.
Element x y z (fractional)
Li1 0.0000 0.0000 0.0000  2 O 2.74
Li2 0.5000 0.5000 0.0000  2 O 2.74
Ac1 0.1850 0.3150 0.5000  8 O 2.53-2.72
Ac2 0.3150 0.8150 0.5000  8 O 2.53-2.72
Ac3 0.6850 0.1850 0.5000  8 O 2.53-2.72
Ac4 0.8150 0.6850 0.5000  8 O 2.53-2.72
Si1 0.0000 0.5000 0.0000  4 O 1.72
Si2 0.5000 0.0000 0.0000  4 O 1.72
O1 0.0000 0.0000 0.5000  4 Ac 2.66, 2 Li 2.74
O2 0.1176 0.6176 0.2240  1 Si 1.72
O3 0.1176 0.6176 0.7760  1 Si 1.72
O4 0.3824 0.1176 0.2240  1 Si 1.72
O5 0.3824 0.1176 0.7760  1 Si 1.72
O6 0.5000 0.5000 0.5000  4 Ac 2.66, 2 Li 2.74
O7 0.6176 0.8824 0.2240  1 Si 1.72
O8 0.6176 0.8824 0.7760  1 Si 1.72
O9 0.8824 0.3824 0.2240  1 Si 1.72
O10 0.8824 0.3824 0.7760  1 Si 1.72

(6)
First-principles (PBE-GGA) data for a relaxed LiAcSiO4 crystal, as listed in the Alexandria database.

Results
As for the density of states at the Fermi level: 0.00 states/eV/cell. The calculation puts the spin magnetization at 0.000 μB/atom. The calculated total energy comes out at -7.3549 eV/atom.

Cell: 5.9704 5.6250 6.5936 Å, 90.00 112.33 90.00°
With the nearest neighbours (Å) after each atom.
Element x y z (fractional)
Li1 0.2281 0.2500 0.4711  3 O 2.04-2.09
Li2 0.7719 0.7500 0.5289  3 O 2.04-2.09
Ac1 0.2715 0.2500 0.0335  6 O 2.43-2.62
Ac2 0.7285 0.7500 0.9665  6 O 2.43-2.62
Si1 0.2805 0.7500 0.3269  4 O 1.61-1.68
Si2 0.7195 0.2500 0.6731  4 O 1.61-1.68
O1 0.0943 0.5182 0.2502  1 Si 1.66
O2 0.0943 0.9818 0.2502  1 Si 1.66
O3 0.4499 0.7500 0.5848  1 Si 1.61
O4 0.4510 0.7500 0.1739  1 Si 1.68
O5 0.5490 0.2500 0.8261  1 Si 1.68
O6 0.5501 0.2500 0.4152  1 Si 1.61
O7 0.9057 0.0182 0.7498  1 Si 1.66
O8 0.9057 0.4818 0.7498  1 Si 1.66

(7)
First-principles (PBE-GGA) data for a relaxed Li3Ac3SiO8 crystal, as listed in the Alexandria database.

Results
The calculation puts the spin magnetization at 0.000 μB/atom. The calculated total energy comes out at -6.6584 eV/atom.

Cell: 6.3850 6.3850 6.3850 Å, 68.38 68.38 68.38°
With the nearest neighbours (Å) after each atom.
Element x y z (fractional)
Li1 0.0000 0.5000 0.5000  6 O 2.32-2.42
Li2 0.5000 0.0000 0.5000  6 O 2.32-2.42
Li3 0.5000 0.5000 0.0000  6 O 2.32-2.42
Ac1 0.0000 0.0000 0.5000  6 O 2.39-2.58
Ac2 0.0000 0.5000 0.0000  6 O 2.39-2.58
Ac3 0.5000 0.0000 0.0000  6 O 2.39-2.58
Si1 0.5000 0.5000 0.5000  6 O 1.91
O1 0.2478 0.2478 0.2478  3 Ac 2.39, 3 Li 2.42
O2 0.2996 0.2996 0.6831  1 Si 1.91
O3 0.2996 0.6831 0.2996  1 Si 1.91
O4 0.3169 0.7004 0.7004  1 Si 1.91
O5 0.6831 0.2996 0.2996  1 Si 1.91
O6 0.7004 0.3169 0.7004  1 Si 1.91
O7 0.7004 0.7004 0.3169  1 Si 1.91
O8 0.7522 0.7522 0.7522  3 Ac 2.39, 3 Li 2.42

(8)
First-principles (PBE-GGA) data for a relaxed LiAcSmO4 crystal, as listed in the Alexandria database.

Results
As for the density of states at the Fermi level: 6.53 states/eV/cell. The calculation puts the spin magnetization at 0.042 μB/atom. The calculated total energy comes out at -7.0679 eV/atom.

Cell: 7.0667 7.0667 5.6525 Å, 90.00 90.00 139.08°
With the nearest neighbours (Å) after each atom.
Element x y z (fractional)
Li1 0.2351 0.7649 0.7500  5 O 1.89-2.06
Li2 0.7649 0.2351 0.2500  5 O 1.89-2.06
Ac1 0.1095 0.8905 0.2500  7 O 2.50-2.64
Ac2 0.8905 0.1095 0.7500  7 O 2.50-2.64
Sm1 0.3806 0.6194 0.2500  7 O 2.34-2.55
Sm2 0.6194 0.3806 0.7500  7 O 2.34-2.55
O1 0.0000 0.5000 0.0000  2 Li 1.89
O2 0.0000 0.5000 0.5000  2 Li 1.89
O3 0.0792 0.9208 0.7500  1 Li 2.06
O4 0.4430 0.5570 0.7500  1 Sm 2.34, 2 Ac 2.57
O5 0.5000 0.0000 0.0000  2 Li 1.89
O6 0.5000 0.0000 0.5000  2 Li 1.89
O7 0.5570 0.4430 0.2500  1 Sm 2.34, 2 Ac 2.57
O8 0.9208 0.0792 0.2500  1 Li 2.06

(9)
First-principles (PBE-GGA) data for a relaxed Li3Ac2SnO6 crystal, as listed in the Alexandria database.

Results
As for the density of states at the Fermi level: 3.46 states/eV/cell. The calculation puts the spin magnetization at 0.000 μB/atom. The calculated total energy comes out at -6.1452 eV/atom.

Cell: 6.5058 6.5058 5.3436 Å, 97.19 97.19 125.20°
With the nearest neighbours (Å) after each atom.
Element x y z (fractional)
Li1 0.0000 0.0000 0.0000  2 O 2.21
Li2 0.3910 0.6090 0.0000  4 O 2.11-2.17
Li3 0.6090 0.3910 0.0000  4 O 2.11-2.17
Ac1 0.1682 0.8318 0.5000  6 O 2.49-2.62
Ac2 0.8318 0.1682 0.5000  6 O 2.49-2.62
Sn1 0.5000 0.5000 0.5000  6 O 2.26-2.31
O1 0.1535 0.4447 0.2590  1 Li 2.11, 1 Sn 2.26
O2 0.2381 0.2381 0.7474  3 Li 2.17-2.21, 1 Sn 2.31
O3 0.4447 0.1535 0.2590  1 Li 2.11, 1 Sn 2.26
O4 0.5553 0.8465 0.7410  1 Li 2.11, 1 Sn 2.26
O5 0.7619 0.7619 0.2526  3 Li 2.17-2.21, 1 Sn 2.31
O6 0.8465 0.5553 0.7410  1 Li 2.11, 1 Sn 2.26

(10)
First-principles (PBE-GGA) data for a relaxed Li2AcSnO4 crystal, as listed in the Alexandria database.

Results
As for the density of states at the Fermi level: 3.60 states/eV/cell. The calculation puts the spin magnetization at 0.000 μB/atom. The calculated total energy comes out at -6.0604 eV/atom.

Cell: 5.6016 5.6016 7.1438 Å, 90.00 90.00 90.00°
With the nearest neighbours (Å) after each atom.
Element x y z (fractional)
Li1 0.0000 0.5000 0.2500  4 O 2.07
Li2 0.0000 0.5000 0.7500  4 O 2.07
Li3 0.5000 0.0000 0.2500  4 O 2.07
Li4 0.5000 0.0000 0.7500  4 O 2.07
Ac1 0.0000 0.0000 0.0000  4 O 2.50
Ac2 0.5000 0.5000 0.5000  4 O 2.50
Sn1 0.0000 0.0000 0.5000  4 O 2.14
Sn2 0.5000 0.5000 0.0000  4 O 2.14
O1 0.2232 0.2232 0.6691  2 Li 2.07, 1 Sn 2.14
O2 0.2232 0.7768 0.3309  2 Li 2.07, 1 Sn 2.14
O3 0.2768 0.2768 0.1691  2 Li 2.07, 1 Sn 2.14
O4 0.2768 0.7232 0.8309  2 Li 2.07, 1 Sn 2.14
O5 0.7232 0.2768 0.8309  2 Li 2.07, 1 Sn 2.14
O6 0.7232 0.7232 0.1691  2 Li 2.07, 1 Sn 2.14
O7 0.7768 0.2232 0.3309  2 Li 2.07, 1 Sn 2.14
O8 0.7768 0.7768 0.6691  2 Li 2.07, 1 Sn 2.14

(11)
First-principles (PBE-GGA) data for a relaxed Li2AcSnO crystal, as listed in the Alexandria database.

Results
As for the density of states at the Fermi level: 1.89 states/eV/cell. The calculation puts the spin magnetization at 0.000 μB/atom. The calculated total energy comes out at -4.7040 eV/atom.

Cell: 6.8005 6.8005 7.9728 Å, 90.00 90.00 148.59°
With the nearest neighbours (Å) after each atom.
Element x y z (fractional)
Li1 0.1482 0.8518 0.5398  1 O 1.97
Li2 0.1482 0.8518 0.9602  1 O 1.97
Li3 0.8518 0.1482 0.0398  1 O 1.97
Li4 0.8518 0.1482 0.4602  1 O 1.97
Ac1 0.4712 0.5288 0.7500  4 O 2.74
Ac2 0.5288 0.4712 0.2500  4 O 2.74
Sn1 0.2623 0.7377 0.2500  6 Li 2.75
Sn2 0.7377 0.2623 0.7500  6 Li 2.75
O1 0.0000 0.0000 0.0000  2 Li 1.97
O2 0.0000 0.0000 0.5000  2 Li 1.97

(12)
First-principles (PBE-GGA) data for a relaxed LiAc2SnO6 crystal, as listed in the Alexandria database.

Results
As for the density of states at the Fermi level: 14.27 states/eV/cell. The calculation puts the spin magnetization at 0.000 μB/atom. The calculated total energy comes out at -6.8233 eV/atom.

Cell: 5.9307 5.6144 10.2563 Å, 90.00 125.17 90.00°
With the nearest neighbours (Å) after each atom.
Element x y z (fractional)
Li1 0.0000 0.0000 0.0000  6 O 2.11-2.24
Li2 0.0000 0.5000 0.5000  6 O 2.11-2.24
Ac1 0.2375 0.0014 0.7465  5 O 2.47-2.60
Ac2 0.2375 0.4986 0.2465  5 O 2.47-2.60
Ac3 0.7625 0.5014 0.7535  5 O 2.47-2.60
Ac4 0.7625 0.9986 0.2535  5 O 2.47-2.60
Sn1 0.5000 0.0000 0.5000  6 O 2.07-2.09
Sn2 0.5000 0.5000 0.0000  6 O 2.07-2.09
O1 0.1999 0.2493 0.4466  1 Sn 2.07, 1 Li 2.11
O2 0.1999 0.2507 0.9466  1 Sn 2.07, 1 Li 2.11
O3 0.2021 0.7480 0.4466  1 Sn 2.08, 1 Li 2.11
O4 0.2021 0.7520 0.9466  1 Sn 2.08, 1 Li 2.11
O5 0.3511 0.0010 0.2593  1 Sn 2.09, 1 Li 2.24
O6 0.3511 0.4990 0.7593  1 Sn 2.09, 1 Li 2.24
O7 0.6489 0.5010 0.2407  1 Sn 2.09, 1 Li 2.24
O8 0.6489 0.9990 0.7407  1 Sn 2.09, 1 Li 2.24
O9 0.7979 0.2480 0.0534  1 Sn 2.08, 1 Li 2.11
O10 0.7979 0.2520 0.5534  1 Sn 2.08, 1 Li 2.11
O11 0.8001 0.7493 0.0534  1 Sn 2.07, 1 Li 2.11
O12 0.8001 0.7507 0.5534  1 Sn 2.07, 1 Li 2.11

Question: calculated total energy of number 5 (LiAc2SiO5)?
Answer: -6.9648 eV/atom

Question: Which value of calculated total energy does entry 6 give?
Answer: -7.3549 eV/atom

Question: Which value of calculated total energy does entry 9 give?
Answer: -6.1452 eV/atom

Question: Which value of calculated total energy does entry 7 give?
Answer: -6.6584 eV/atom